Record 1
# Ba2ScPb

A relaxed structure of Ba2ScPb (PBE, Alexandria).

The structure belongs to space group Cmmm (No. 65); the cell edges are 7.0932, 10.8314 and 3.8786 Å and the angles 90.00°, 90.00° and 90.00°. The distinct sites, in fractional coordinates, are Ba at (0.2500, 0.2500, 0.0000), Sc at (0.0000, 0.0000, 0.5000) and Pb at (0.0000, 0.5000, 0.5000).

Its energy relative to the elements is 0.011 eV per atom. As for the density of states at the Fermi level: 11.249 states/eV per cell. The magnetic moment comes out at 0.00 μB per formula unit. For the calculated volume, the calculation gives 37.248 A^3/atom.

Record 2
# Ba2ScPb

A relaxed structure of Ba2ScPb (PBE, Alexandria).

The structure belongs to space group P4/mmm (No. 123); the cell edges are 6.1099, 6.1099 and 4.2169 Å and the angles 90.00°, 90.00° and 90.00°. The distinct sites, in fractional coordinates, are Ba at (0.0000, 0.5000, 0.0000), Sc at (0.0000, 0.0000, 0.5000) and Pb at (0.5000, 0.5000, 0.5000).

Its energy relative to the elements is 0.015 eV per atom. As for the density of states at the Fermi level: 5.755 states/eV per cell. The magnetic moment comes out at 1.17 μB per formula unit. For the calculated volume, the calculation gives 39.355 A^3/atom.

Record 3
# Ba4ScPb

A relaxed structure of Ba4ScPb (PBE, Alexandria).

The structure belongs to space group F-43m (No. 216); the cell edges are 10.2967, 10.2967 and 10.2967 Å and the angles 90.00°, 90.00° and 90.00°. The distinct sites, in fractional coordinates, are Ba at (0.1246, 0.1246, 0.1246), Sc at (0.0000, 0.0000, 0.5000) and Pb at (0.2500, 0.2500, 0.7500).

Its energy relative to the elements is 0.418 eV per atom. As for the density of states at the Fermi level: 29.745 states/eV per cell. The magnetic moment comes out at 2.18 μB per formula unit. For the calculated volume, the calculation gives 45.487 A^3/atom.

Record 4
# Ba2ScPb6

A relaxed structure of Ba2ScPb6 (PBE, Alexandria).

The structure belongs to space group R-3m (No. 166, hexagonal axes); the cell edges are 7.5215, 7.5215 and 18.4523 Å and the angles 90.00°, 90.00° and 120.00°. The distinct sites, in fractional coordinates, are Ba at (0.0000, 0.0000, 0.2504), Sc at (0.0000, 0.0000, 0.0000) and Pb at (0.0402, 0.5201, 0.2396).

Its energy relative to the elements is -0.361 eV per atom. As for the density of states at the Fermi level: 15.947 states/eV per cell. The magnetic moment comes out at 0.00 μB per formula unit. For the calculated volume, the calculation gives 33.483 A^3/atom.

Record 5
# BaSc2Pb2

A relaxed structure of BaSc2Pb2 (PBE, Alexandria).

The structure belongs to space group P4/mbm (No. 127); the cell edges are 9.2191, 9.2191 and 3.4827 Å and the angles 90.00°, 90.00° and 90.00°. The distinct sites, in fractional coordinates, are Ba at (0.0000, 0.0000, 0.0000), Sc at (0.1338, 0.3662, 0.5000) and Pb at (0.1576, 0.6576, 0.0000).

Its energy relative to the elements is -0.286 eV per atom. As for the density of states at the Fermi level: 10.156 states/eV per cell. The magnetic moment comes out at 0.49 μB per formula unit. For the calculated volume, the calculation gives 29.600 A^3/atom. The value obtained for the relative energy among the computed polymorphs is 129.4 meV per atom.

Record 6
# BaSc4Pb

A relaxed structure of BaSc4Pb (PBE, Alexandria).

The structure belongs to space group F-43m (No. 216); the cell edges are 8.9297, 8.9297 and 8.9297 Å and the angles 90.00°, 90.00° and 90.00°. The distinct sites, in fractional coordinates, are Ba at (0.0000, 0.0000, 0.0000), Sc at (0.1247, 0.1247, 0.3753) and Pb at (0.2500, 0.2500, 0.7500).

Its energy relative to the elements is 0.223 eV per atom. As for the density of states at the Fermi level: 39.607 states/eV per cell. The magnetic moment comes out at 0.35 μB per formula unit. For the calculated volume, the calculation gives 29.668 A^3/atom.

Record 7
# Ba2ScPb

A relaxed structure of Ba2ScPb (PBE, Alexandria).

The structure belongs to space group Amm2 (No. 38); the cell edges are 4.9606, 5.1938 and 13.5152 Å and the angles 90.00°, 90.00° and 90.00°. The distinct sites, in fractional coordinates, are Ba at (0.0000, 0.0000, 0.0000), Ba at (0.5000, 0.0000, 0.2936), Sc at (0.5000, 0.0000, 0.6011) and Pb at (0.0000, 0.0000, 0.7148).

Its energy relative to the elements is -0.160 eV per atom. As for the density of states at the Fermi level: 7.838 states/eV per cell. The magnetic moment comes out at 0.65 μB per formula unit. For the calculated volume, the calculation gives 43.526 A^3/atom.

Record 8
# BaScTa2Pb

A relaxed structure of BaScTa2Pb (PBE, Alexandria).

The structure belongs to space group P4/mmm (No. 123); the cell edges are 5.3728, 5.3728 and 5.5022 Å and the angles 90.00°, 90.00° and 90.00°. The distinct sites, in fractional coordinates, are Ba at (0.0000, 0.0000, 0.0000), Sc at (0.5000, 0.5000, 0.0000), Ta at (0.0000, 0.5000, 0.5000) and Pb at (0.5000, 0.5000, 0.5000).

Its energy relative to the elements is 1.460 eV per atom. As for the density of states at the Fermi level: 9.083 states/eV per cell. The magnetic moment comes out at 0.25 μB per formula unit. For the calculated volume, the calculation gives 31.766 A^3/atom.

Record 9
# BaZrScPb2

A relaxed structure of BaZrScPb2 (PBE, Alexandria).

The structure belongs to space group P4/mmm (No. 123); the cell edges are 5.7212, 5.7212 and 5.8708 Å and the angles 90.00°, 90.00° and 90.00°. The distinct sites, in fractional coordinates, are Ba at (0.0000, 0.0000, 0.0000), Zr at (0.0000, 0.0000, 0.5000), Sc at (0.5000, 0.5000, 0.0000) and Pb at (0.0000, 0.5000, 0.5000).

Its energy relative to the elements is 0.577 eV per atom. As for the density of states at the Fermi level: 5.179 states/eV per cell. The magnetic moment comes out at 1.42 μB per formula unit. For the calculated volume, the calculation gives 38.432 A^3/atom.

Record 10
# BaPb2Se

A relaxed structure of BaPb2Se (PBE, Alexandria).

The structure belongs to space group P4mm (No. 99); the cell edges are 4.5364, 4.5364 and 7.4707 Å and the angles 90.00°, 90.00° and 90.00°. The distinct sites, in fractional coordinates, are Ba at (0.0000, 0.0000, 0.0000), Pb at (0.0000, 0.0000, 0.4983), Pb at (0.5000, 0.5000, 0.3697) and Se at (0.5000, 0.5000, 0.9828).

As for the density of states at the Fermi level: 1.630 states/eV per cell. The magnetic moment comes out at 0.00 μB per formula unit. For the calculated volume, the calculation gives 38.435 A^3/atom. As for the energy relative to the elements, uncorrected: -0.75 eV per atom.

Record 11
# BaPb2Se

A relaxed structure of BaPb2Se (PBE, Alexandria).

The structure belongs to space group C2/m (No. 12); the cell edges are 14.1187, 4.1599 and 4.9646 Å and the angles 90.00°, 110.47° and 90.00°. The distinct sites, in fractional coordinates, are Ba at (0.0000, 0.0000, 0.0000), Pb at (0.2089, 0.0000, 0.7085) and Se at (0.0000, 0.5000, 0.5000).

As for the density of states at the Fermi level: 4.369 states/eV per cell. The magnetic moment comes out at 0.00 μB per formula unit. For the calculated volume, the calculation gives 34.148 A^3/atom. As for the energy relative to the elements, uncorrected: -0.66 eV per atom.

Record 12
# BaPb2Se

A relaxed structure of BaPb2Se (PBE, Alexandria).

The structure belongs to space group I-42d (No. 122); the cell edges are 9.6350, 9.6350 and 6.3340 Å and the angles 90.00°, 90.00° and 90.00°. The distinct sites, in fractional coordinates, are Ba at (0.0000, 0.0000, 0.0000), Pb at (0.1879, 0.2500, 0.6250) and Se at (0.0000, 0.0000, 0.5000).

As for the density of states at the Fermi level: 7.166 states/eV per cell. The magnetic moment comes out at 0.00 μB per formula unit. For the calculated volume, the calculation gives 36.750 A^3/atom. As for the energy relative to the elements, uncorrected: -0.47 eV per atom.